No. 1
First-principles (PBE) data for a relaxed structure of YAs2PSe, as listed in Alexandria.

Calculated values
Density of states at the Fermi level, states/eV/f.u.: 3.83
Energy relative to the elements, uncorrected, eV per atom: -0.131
Relative energy among the computed polymorphs, eV per atom: 0.000

Structure (CIF):
```
data_YAs2PSe
_chemical_formula_sum 'Y1 As2 P1 Se1'
_space_group_name_H-M_alt 'P 4/m m m'
_space_group_IT_number 123
_space_group_name_Hall '-P 4 2'
_cell_length_a 4.736
_cell_length_b 4.736
_cell_length_c 4.988
_cell_angle_alpha 90.00
_cell_angle_beta 90.00
_cell_angle_gamma 90.00
loop_
_atom_site_label
_atom_site_type_symbol
_atom_site_fract_x
_atom_site_fract_y
_atom_site_fract_z
Y1 Y 0.000 0.000 0.000
As1 As 0.000 0.500 0.500
P1 P 0.500 0.500 0.500
Se1 Se 0.500 0.500 0.000
```


No. 2
First-principles (PBE) data for a relaxed structure of Y8As4PSe3, as listed in Alexandria.

Calculated values
Density of states at the Fermi level, states/eV/f.u.: 4.40
Energy relative to the elements, uncorrected, eV per atom: -1.709

Structure (CIF):
```
data_Y8As4PSe3
_chemical_formula_sum 'Y24 As12 P3 Se9'
_space_group_name_H-M_alt 'R -3 m'
_space_group_IT_number 166
_space_group_name_Hall '-R 3 2"'
_cell_length_a 8.2034
_cell_length_b 8.2034
_cell_length_c 20.0700
_cell_angle_alpha 90.00
_cell_angle_beta 90.00
_cell_angle_gamma 120.00
loop_
_atom_site_label
_atom_site_type_symbol
_atom_site_fract_x
_atom_site_fract_y
_atom_site_fract_z
Y1 Y 0.0000 0.0000 0.2462
Y2 Y 0.0085 0.5042 0.7512
As1 As 0.0000 0.0000 0.5000
As2 As 0.0000 0.5000 0.5000
P1 P 0.0000 0.0000 0.0000
Se1 Se 0.0000 0.5000 0.0000
```


No. 3
First-principles (PBE) data for a relaxed structure of Y6As2PSe3, as listed in Alexandria.

Calculated values
Density of states at the Fermi level, states/eV/f.u.: 4.41
Energy relative to the elements, uncorrected, eV per atom: -1.749

Structure (CIF):
```
data_Y6As2PSe3
_chemical_formula_sum 'Y12 As4 P2 Se6'
_space_group_name_H-M_alt 'C 1 2/m 1'
_space_group_IT_number 12
_cell_length_a 17.900
_cell_length_b 4.080
_cell_length_c 8.213
_cell_angle_alpha 90.00
_cell_angle_beta 103.81
_cell_angle_gamma 90.00
loop_
_space_group_symop_operation_xyz
'x,y,z'
'-x,-y,-z'
'-x,y,-z'
'x,-y,z'
'x+1/2,y+1/2,z'
'-x+1/2,-y+1/2,-z'
'-x+1/2,y+1/2,-z'
'x+1/2,-y+1/2,z'
loop_
_atom_site_label
_atom_site_type_symbol
_atom_site_fract_x
_atom_site_fract_y
_atom_site_fract_z
Y1 Y 0.002 0.000 0.234
Y2 Y 0.160 0.500 0.086
Y3 Y 0.168 0.500 0.576
As1 As 0.167 0.000 0.333
P1 P 0.000 0.500 0.000
Se1 Se 0.000 0.500 0.500
Se2 Se 0.168 0.000 0.833
```


Question: The lowest energy relative to the elements, uncorrected belongs to which entry?
Answer: Y6As2PSe3


Question: Which formula does entry 3 have?
Answer: Y6As2PSe3